No. 1
VASP calculation (PBE-GGA) on crystalline MgScCr2 at its relaxed geometry.

Lattice parameters (Å, degrees): 4.620 4.620 4.620 60.00 60.00 60.00
Fractional coordinates of all 4 atoms:
Mg1 0.000 0.000 0.000
Sc1 0.750 0.750 0.750
Cr1 0.250 0.250 0.250
Cr2 0.500 0.500 0.500

Results
For the formation enthalpy at 0 K, the calculation gives 0.263 eV per atom. As for the density: 4.1 g/cm³. Its density of states at the Fermi level is 0.645 states/eV/atom.



No. 2
VASP calculation (PBE-GGA) on crystalline MgScCr2 at its relaxed geometry.

Lattice parameters (Å, degrees): 2.658 2.658 8.994 90.00 90.00 98.57
Fractional coordinates of all 4 atoms:
Mg1 0.000 0.000 0.000
Sc1 0.000 0.000 0.500
Cr1 0.500 0.500 0.249
Cr2 0.500 0.500 0.751

Results
For the formation enthalpy at 0 K, the calculation gives 0.586 eV per atom. As for the density: 4.6 g/cm³. Its density of states at the Fermi level is 1.094 states/eV/atom.



No. 3
VASP calculation (PBE-GGA) on crystalline MgScCr2 at its relaxed geometry.

Lattice parameters (Å, degrees): 3.073 3.073 7.270 90.00 90.00 90.00
Fractional coordinates of all 4 atoms:
Mg1 0.000 0.000 0.000
Sc1 0.500 0.500 0.664
Cr1 0.000 0.000 0.414
Cr2 0.500 0.500 0.260

Results
For the formation enthalpy at 0 K, the calculation gives 0.164 eV per atom. As for the density: 4.2 g/cm³. Its density of states at the Fermi level is 0.904 states/eV/atom.



No. 4
VASP calculation (PBE-GGA) on crystalline MgScCr2 at its relaxed geometry.

Lattice parameters (Å, degrees): 5.302 5.302 5.302 144.74 126.81 65.44
Fractional coordinates of all 4 atoms:
Mg1 0.000 0.000 0.000
Sc1 0.713 0.213 0.500
Cr1 0.273 0.773 0.500
Cr2 0.450 0.450 0.000

Results
For the formation enthalpy at 0 K, the calculation gives 0.278 eV per atom. As for the density: 4.2 g/cm³. Its density of states at the Fermi level is 0.922 states/eV/atom.



No. 5
VASP calculation (PBE-GGA) on crystalline MgSc2Cr at its relaxed geometry.

Lattice parameters (Å, degrees): 10.558 10.558 10.558 16.92 16.92 16.92
Fractional coordinates of all 4 atoms:
Mg1 0.000 0.000 0.000
Sc1 0.099 0.099 0.099
Sc2 0.901 0.901 0.901
Cr1 0.500 0.500 0.500

Results
For the formation enthalpy at 0 K, the calculation gives 0.411 eV per atom. As for the density: 3.2 g/cm³. Its density of states at the Fermi level is 0.880 states/eV/atom.



No. 6
VASP calculation (PBE-GGA) on crystalline MgSc2Cr at its relaxed geometry.

Lattice parameters (Å, degrees): 5.831 5.831 5.831 146.20 130.14 61.60
Fractional coordinates of all 4 atoms:
Mg1 0.000 0.000 0.000
Sc1 0.263 0.763 0.500
Sc2 0.544 0.544 0.000
Cr1 0.776 0.276 0.500

Results
For the formation enthalpy at 0 K, the calculation gives 0.203 eV per atom. As for the density: 3.3 g/cm³. Its density of states at the Fermi level is 1.143 states/eV/atom.